An optimized crystal structure of Ac8ZnTe4Se3, computed with PBE.

Results
Calculated volume (Å³/atom): 35.1
N(E_F) (states/eV per cell): 10.151
Space group: R-3m
Total DFT energy (no corrections) (eV per atom): -5.0478

Cell and atoms, written as CIF:
```
data_Ac8ZnTe4Se3
_chemical_formula_sum 'Ac8 Zn1 Te4 Se3'
_cell_length_a 9.349
_cell_length_b 9.349
_cell_length_c 9.349
_cell_angle_alpha 58.73
_cell_angle_beta 58.73
_cell_angle_gamma 58.73
_space_group_name_H-M_alt 'P 1'
_space_group_IT_number 1
loop_
_space_group_symop_operation_xyz
'x,y,z'
loop_
_atom_site_label
_atom_site_type_symbol
_atom_site_fract_x
_atom_site_fract_y
_atom_site_fract_z
Ac1 Ac 0.242 0.242 0.242
Ac2 Ac 0.246 0.741 0.741
Ac3 Ac 0.259 0.259 0.754
Ac4 Ac 0.259 0.754 0.259
Ac5 Ac 0.741 0.246 0.741
Ac6 Ac 0.741 0.741 0.246
Ac7 Ac 0.754 0.259 0.259
Ac8 Ac 0.758 0.758 0.758
Zn1 Zn 0.500 0.500 0.500
Te1 Te 0.000 0.000 0.000
Te2 Te 0.000 0.500 0.500
Te3 Te 0.500 0.000 0.500
Te4 Te 0.500 0.500 0.000
Se1 Se 0.000 0.000 0.500
Se2 Se 0.000 0.500 0.000
Se3 Se 0.500 0.000 0.000
```